A plane-wave DFT calculation with GGA-PBE was carried out for a relaxed structure of KNa2TeO.

Properties
Raw formation energy in eV per atom: -0.90
SG: P4/mmm (123)

a b c (Å): 4.861 4.861 5.200
angles (deg): 90.00 90.00 90.00
Sites, in units of the cell vectors:
K 0.000 0.000 0.500
Na 0.000 0.500 0.000
O 0.000 0.000 0.000
Na 0.500 0.000 0.000
Te 0.500 0.500 0.500



A plane-wave DFT calculation with GGA-PBE was carried out for a relaxed structure of Li7USe6.

Properties
Raw formation energy in eV per atom: -1.21
SG: R3 (146)

a b c (Å): 7.325 7.325 7.779
angles (deg): 61.91 61.91 60.00
Sites, in units of the cell vectors:
Se 0.619 0.243 0.248
Se 0.071 0.392 0.764
Li 0.124 0.753 0.651
Li 0.472 0.124 0.651
Li 0.753 0.472 0.651
Li 0.509 0.913 0.360
Se 0.890 0.619 0.248
Li 0.913 0.217 0.360
Li 0.660 0.660 0.019
Se 0.243 0.890 0.248
Se 0.392 0.774 0.764
U 0.998 0.998 0.006
Se 0.774 0.071 0.764
Li 0.217 0.509 0.360



A plane-wave DFT calculation with GGA-PBE was carried out for a relaxed structure of Cs2GeClF6.

Properties
Raw formation energy in eV per atom: -2.33
SG: I4/mmm (139)

a b c (Å): 6.616 6.616 6.792
angles (deg): 60.85 60.85 90.00
Sites, in units of the cell vectors:
Ge 0.000 0.000 0.000
Cs 0.750 0.250 0.500
Cs 0.250 0.750 0.500
F 0.814 0.814 0.372
F 0.803 0.803 0.000
F 0.186 0.186 0.628
F 0.197 0.803 0.000
F 0.197 0.197 0.000
F 0.803 0.197 0.000
Cl 0.500 0.500 0.000



A plane-wave DFT calculation with GGA-PBE was carried out for a relaxed structure of P2AuBr.

Properties
Raw formation energy in eV per atom: 0.23
SG: Imm2 (44)
Relative energy among the computed polymorphs in meV per atom: 115

a b c (Å): 6.730 6.730 6.730
angles (deg): 150.77 144.89 46.31
Sites, in units of the cell vectors:
Au 0.480 0.480 0.000
Br 0.212 0.712 0.500
P 0.840 0.340 0.500
P 0.967 0.967 0.000



A plane-wave DFT calculation with GGA-PBE was carried out for a relaxed structure of Mg3VSb.

Properties
Raw formation energy in eV per atom: 0.85
SG: Pm-3m (221)
Relative energy among the computed polymorphs in meV per atom: 14

a b c (Å): 5.366 5.366 5.366
angles (deg): 90.00 90.00 90.00
Sites, in units of the cell vectors:
Mg 0.000 0.500 0.000
Mg 0.500 0.000 0.000
V 0.500 0.500 0.500
Sb 0.000 0.000 0.000
Mg 0.000 0.000 0.500



A plane-wave DFT calculation with GGA-PBE was carried out for a relaxed structure of Sc2Al2Os.

Properties
SG: P4/mbm (127)
Formation energy in eV/f.u.: -1.619

a b c (Å): 6.790 6.790 3.902
angles (deg): 90.00 90.00 90.00
Sites, in units of the cell vectors:
Sc 0.174 0.674 0.500
Al 0.634 0.134 0.000
Al 0.134 0.366 0.000
Os 0.000 0.000 0.000
Sc 0.326 0.174 0.500
Al 0.366 0.866 0.000
Sc 0.826 0.326 0.500
Al 0.866 0.634 0.000
Sc 0.674 0.826 0.500
Os 0.500 0.500 0.000



A plane-wave DFT calculation with GGA-PBE was carried out for a relaxed structure of YNiW.

Properties
SG: P-6m2 (187)
Relative energy among the computed polymorphs in meV per atom: 96
Formation energy in eV/f.u.: 0.859

a b c (Å): 4.061 4.061 4.245
angles (deg): 90.00 90.00 120.00
Sites, in units of the cell vectors:
Y 0.333 0.667 0.667
Ni 0.000 0.000 0.167
W 0.667 0.333 0.167



A plane-wave DFT calculation with GGA-PBE was carried out for a relaxed structure of PdPtSeBr2.

Properties
Raw formation energy in eV per atom: 0.52
SG: P4/mmm (123)
Relative energy among the computed polymorphs in meV per atom: 0

a b c (Å): 5.236 5.236 4.810
angles (deg): 90.00 90.00 90.00
Sites, in units of the cell vectors:
Br 0.000 0.500 0.000
Se 0.000 0.000 0.500
Pd 0.500 0.500 0.500
Pt 0.000 0.000 0.000
Br 0.500 0.000 0.000



A plane-wave DFT calculation with GGA-PBE was carried out for a relaxed structure of CePm4Ga5.

Properties
SG: P4/mmm (123)
Formation energy in eV/f.u.: -5.433

a b c (Å): 3.645 3.645 18.502
angles (deg): 90.00 90.00 90.00
Sites, in units of the cell vectors:
Pm 0.000 0.000 0.600
Ga 0.500 0.500 0.500
Pm 0.000 0.000 0.201
Ga 0.500 0.500 0.899
Ga 0.500 0.500 0.300
Pm 0.000 0.000 0.799
Ga 0.500 0.500 0.700
Pm 0.000 0.000 0.400
Ga 0.500 0.500 0.101
Ce 0.000 0.000 0.000



A plane-wave DFT calculation with GGA-PBE was carried out for a relaxed structure of BiSI2.

Properties
Raw formation energy in eV per atom: 0.39
SG: Fm-3m (225)
Relative energy among the computed polymorphs in meV per atom: 333

a b c (Å): 5.464 5.464 5.464
angles (deg): 60.00 60.00 60.00
Sites, in units of the cell vectors:
S 0.000 0.000 0.000
Bi 0.500 0.500 0.500
I 0.250 0.250 0.250
I 0.750 0.750 0.750



A plane-wave DFT calculation with GGA-PBE was carried out for a relaxed structure of Na2ZnGe2.

Properties
SG: C2/m (12)
Relative energy among the computed polymorphs in meV per atom: 0
Formation energy in eV/f.u.: -0.410

a b c (Å): 4.499 5.800 9.501
angles (deg): 84.62 76.30 67.18
Sites, in units of the cell vectors:
Na 0.321 0.670 0.688
Zn 0.639 0.079 0.643
Na 0.088 0.717 0.107
Na 0.912 0.283 0.893
Ge 0.381 0.134 0.104
Na 0.679 0.330 0.312
Zn 0.361 0.921 0.357
Ge 0.619 0.866 0.896
Ge 0.080 0.284 0.556
Ge 0.920 0.716 0.444



A plane-wave DFT calculation with GGA-PBE was carried out for a relaxed structure of NaDyCdGe.

Properties
SG: F-43m (216)
Formation energy in eV/f.u.: -1.166

a b c (Å): 5.095 5.095 5.095
angles (deg): 60.00 60.00 60.00
Sites, in units of the cell vectors:
Dy 0.000 0.000 0.000
Na 0.500 0.500 0.500
Ge 0.250 0.250 0.250
Cd 0.750 0.750 0.750



A plane-wave DFT calculation with GGA-PBE was carried out for a relaxed structure of HgMo2Ru.

Properties
SG: Pmmm (47)
Formation energy in eV/f.u.: 1.233

a b c (Å): 2.836 4.071 5.699
angles (deg): 90.00 90.00 90.00
Sites, in units of the cell vectors:
Hg 0.500 0.500 0.750
Mo 0.000 0.000 0.467
Mo 0.000 0.000 0.033
Ru 0.500 0.500 0.250



A plane-wave DFT calculation with GGA-PBE was carried out for a relaxed structure of Sr4MnPt.

Properties
SG: F-43m (216)
Formation energy in eV/f.u.: 5.252

a b c (Å): 6.746 6.746 6.746
angles (deg): 60.00 60.00 60.00
Sites, in units of the cell vectors:
Mn 0.750 0.750 0.750
Sr 0.375 0.375 0.375
Sr 0.375 0.876 0.375
Pt 0.000 0.000 0.000
Sr 0.876 0.375 0.375
Sr 0.375 0.375 0.876



A plane-wave DFT calculation with GGA-PBE was carried out for a relaxed structure of Pr2NdY6Tm3.

Properties
SG: C2/m (12)
Formation energy in eV/f.u.: 0.284

a b c (Å): 6.215 6.215 11.850
angles (deg): 95.01 95.01 119.97
Sites, in units of the cell vectors:
Tm 0.167 0.833 0.500
Nd 0.000 0.000 0.000
Tm 0.500 0.500 0.500
Tm 0.833 0.167 0.500
Pr 0.333 0.667 0.000
Y 0.085 0.419 0.255
Y 0.248 0.248 0.745
Pr 0.667 0.333 0.000
Y 0.752 0.752 0.255
Y 0.419 0.085 0.255
Y 0.915 0.581 0.745
Y 0.581 0.915 0.745



A plane-wave DFT calculation with GGA-PBE was carried out for a relaxed structure of CoAg2SN.

Properties
Raw formation energy in eV per atom: 1.23
SG: P4/mmm (123)

a b c (Å): 4.849 4.138 4.849
angles (deg): 90.00 90.00 90.00
Sites, in units of the cell vectors:
Ag 0.500 0.000 0.000
Ag 0.000 0.000 0.500
Co 0.000 0.500 0.000
S 0.000 0.000 0.000
N 0.500 0.500 0.500



A plane-wave DFT calculation with GGA-PBE was carried out for a relaxed structure of PuMgAgBi.

Properties
SG: F-43m (216)
Formation energy in eV/f.u.: -0.557

a b c (Å): 5.219 5.219 5.219
angles (deg): 60.00 60.00 60.00
Sites, in units of the cell vectors:
Bi 0.500 0.500 0.500
Ag 0.000 0.000 0.000
Mg 0.750 0.750 0.750
Pu 0.250 0.250 0.250



A plane-wave DFT calculation with GGA-PBE was carried out for a relaxed structure of Sr2PdRuN.

Properties
Raw formation energy in eV per atom: -0.41
SG: P4/mmm (123)

a b c (Å): 5.366 5.366 3.800
angles (deg): 90.00 90.00 90.00
Sites, in units of the cell vectors:
Sr 0.500 0.000 0.000
Ru 0.000 0.000 0.500
Sr 0.000 0.500 0.000
N 0.000 0.000 0.000
Pd 0.500 0.500 0.500



A plane-wave DFT calculation with GGA-PBE was carried out for a relaxed structure of Ca2HoThSb4.

Properties
Raw formation energy in eV per atom: -0.95
SG: P2/m (10)

a b c (Å): 4.500 7.751 7.829
angles (deg): 109.47 90.00 90.00
Sites, in units of the cell vectors:
Sb 0.500 0.253 0.243
Ca 0.000 0.500 0.500
Ca 0.500 0.000 0.500
Sb 0.000 0.258 0.761
Ho 0.500 0.500 0.000
Sb 0.000 0.742 0.239
Th 0.000 0.000 0.000
Sb 0.500 0.747 0.757



A plane-wave DFT calculation with GGA-PBE was carried out for a relaxed structure of KP2Pt.

Properties
SG: P4/mmm (123)
Relative energy among the computed polymorphs in meV per atom: 966
Formation energy in eV/f.u.: 2.159

a b c (Å): 4.067 4.240 4.240
angles (deg): 90.00 90.00 90.00
Sites, in units of the cell vectors:
P 0.000 0.000 0.000
K 0.500 0.000 0.500
P 0.000 0.500 0.500
Pt 0.500 0.500 0.000